Density functional theory data (GGA+U) for an optimized crystal structure of Li2AcMoO5.

Results
Space group: I4/mcm, No. 140
Energy in eV for the cell shown: -116.97

POSCAR file:
```
Li2AcMoO5
1.0
7.3126 0.0000 0.0000
0.0000 7.3126 0.0000
-3.6563 -3.6563 5.0895
O Mo Li Ac
10 2 4 2
direct
0.9936 0.4936 0.6722
0.5064 0.3214 0.3278
0.1786 0.9936 0.6722
0.6786 0.1786 0.6722
0.5000 0.5000 0.0000
0.8214 0.0064 0.3278
0.0064 0.5064 0.3278
0.3214 0.8214 0.3278
0.0000 0.0000 0.0000
0.4936 0.6786 0.6722
0.2500 0.7500 0.5000
0.7500 0.2500 0.5000
0.2321 0.7321 0.0000
0.7679 0.2679 0.0000
0.2679 0.2321 0.0000
0.7321 0.7679 0.0000
0.2500 0.2500 0.5000
0.7500 0.7500 0.5000
```